Compound: Na2LiTaF
Source: Alexandria via LeMat-Bulk
Functional: GGA-PBE
Structure: optimized geometry

abc: 6.105 6.105 5.253
angles: 90.00 90.00 90.00
Element x y z (fractional)
1 Na 0.000 0.500 0.000
2 Na 0.500 0.000 0.000
3 Li 0.000 0.000 0.500
4 Ta 0.000 0.000 0.000
5 F 0.500 0.500 0.500

The total magnetization comes out at 1.000 μB/atom. For the uncorrected formation energy, the calculation gives 4.733 eV per formula unit. The calculated volume comes out at 39.157 Å³/atom.